Crystalline ZrTa2AlH at its relaxed geometry. Source: Alexandria, functional PBE.

The structure belongs to space group P4/mmm (No. 123); the cell edges are 4.0753, 4.0753 and 4.6355 Å and the angles 90.00°, 90.00° and 90.00°. The distinct sites, in fractional coordinates, are Zr at (0.0000, 0.0000, 0.0000), Ta at (0.0000, 0.5000, 0.5000), Al at (0.5000, 0.5000, 0.0000) and H at (0.0000, 0.0000, 0.5000).

Its energy above the most stable polymorph in this dataset is 0 meV per atom. Its total magnetization is 0.0 μB per formula unit.